Computed, not measured: crystalline Cr2IrAu at its relaxed geometry at the GGA-PBE level of DFT.

Cell and atoms, written as POSCAR:
```
Cr2IrAu
1.0
-0.2153 -4.7243 0.5400
2.4502 -4.0769 -0.1805
1.3517 -0.6005 4.4614
Au Cr Ir
1 2 1
direct
0.2531 0.2531 0.2365 Au
0.0141 0.0141 0.9927 Cr
0.7461 0.7461 0.7343 Cr
0.4867 0.4867 0.5364 Ir
```

## Properties
Space-group type: Cm (8)
Total moment: 0.38 μB per cell
Calculated total energy: -30.9 eV/cell
ΔE_f: 3.057 kcal/mol of atoms